The following is a PBE calculation of a relaxed Mn2BIrPb crystal, from Alexandria.

a = 4.5272 Å, b = 5.2744 Å, c = 4.5272 Å
α = 90.00°, β = 90.00°, γ = 90.00°
Closest atoms and distances in Å follow each position.
Atoms (fractional coordinates):
Mn: 0.5000 0.0000 0.0000  2 Ir 2.26
Mn: 0.0000 0.0000 0.5000  2 Ir 2.26
Ir: 0.0000 0.0000 0.0000  4 Mn 2.26
Pb: 0.0000 0.5000 0.0000  2 Ir 2.64
B: 0.5000 0.5000 0.5000  4 Pb 3.20, 8 Mn 3.48

Values from the calculation:
Formation energy in meV per atom: 2099.4
SG: P4/mmm, No. 123
Spin magnetization in μB per formula unit: 0.4
E in eV per atom: -5.418
ρ in g/cm³: 8.0